No. 1
Re4TcRu | Alexandria | GGA-PBE | optimized geometry; energy of formation = 0.72 eV/atom; calculated total energy = -130.3 eV per cell; theoretical density = 15.1 g/cm³; energy above the lowest structure with this stoichiometry = 13.71 kcal/mol of atoms
1.0
4.285 0.000 0.000
0.000 4.645 0.000
0.000 0.000 10.445
Re Tc Ru
8 2 2
direct
0.134 0.248 0.000
0.134 0.252 0.500
0.364 0.747 0.362
0.364 0.753 0.862
0.636 0.247 0.862
0.636 0.253 0.362
0.866 0.748 0.500
0.866 0.752 0.000
0.000 0.000 0.211
0.000 0.500 0.711
0.500 0.000 0.651
0.500 0.500 0.151

=====

No. 2
TiRe2TcRu | Alexandria | GGA-PBE | optimized geometry; energy of formation = 1.70 eV/atom; calculated total energy = -43.9 eV per cell; theoretical density = 10.7 g/cm³
1.0
4.617 0.000 0.000
0.000 4.617 0.000
0.000 0.000 4.489
Ti Re Tc Ru
1 2 1 1
direct
0.000 0.000 0.000
0.000 0.500 0.500
0.500 0.000 0.500
0.000 0.000 0.500
0.500 0.500 0.000

=====

No. 3
VReTcRu | Alexandria | GGA-PBE | optimized geometry; energy of formation = 0.08 eV/atom; calculated total energy = -40.9 eV per cell; theoretical density = 12.6 g/cm³
1.0
0.000 3.062 3.062
3.062 0.000 3.062
3.062 3.062 0.000
V Re Tc Ru
1 1 1 1
direct
0.000 0.000 0.000
0.250 0.250 0.250
0.500 0.500 0.500
0.750 0.750 0.750

=====

No. 4
Zn2ReTcRu | Alexandria | GGA-PBE | optimized geometry; energy of formation = 1.78 eV/atom; calculated total energy = -25.7 eV per cell; theoretical density = 8.7 g/cm³
1.0
4.664 0.000 0.000
0.000 4.664 0.000
0.000 0.000 4.541
Zn Re Tc Ru
2 1 1 1
direct
0.000 0.500 0.000
0.500 0.000 0.000
0.000 0.000 0.500
0.500 0.500 0.000
0.500 0.500 0.500

=====

No. 5
Re2TeRu | Alexandria | GGA-PBE | optimized geometry; calculated total energy = -35.3 eV per cell; theoretical density = 15.2 g/cm³
1.0
1.475 0.851 8.714
-1.475 0.851 8.714
0.000 -1.703 8.714
Re Te Ru
2 1 1
direct
0.000 0.000 0.000
0.253 0.253 0.253
0.755 0.755 0.755
0.506 0.506 0.506

=====

No. 6
ReTe2Ru | Alexandria | GGA-PBE | optimized geometry; calculated total energy = -23.4 eV per cell; theoretical density = 11.7 g/cm³; energy above the lowest structure with this stoichiometry = 19.94 kcal/mol of atoms
1.0
0.000 3.377 3.377
3.377 0.000 3.377
3.377 3.377 0.000
Re Te Ru
1 2 1
direct
0.000 0.000 0.000
0.500 0.500 0.500
0.750 0.750 0.750
0.250 0.250 0.250

=====

No. 7
ReTe2Ru | Alexandria | GGA-PBE | optimized geometry; calculated total energy = -26.6 eV per cell; theoretical density = 10.0 g/cm³; energy above the lowest structure with this stoichiometry = 1.12 kcal/mol of atoms
1.0
3.027 0.000 0.000
0.000 3.951 0.000
0.000 0.000 7.497
Re Te Ru
1 2 1
direct
0.000 0.000 0.000
0.000 0.000 0.353
0.500 0.500 0.804
0.500 0.500 0.160

=====

No. 8
Re2TeRu | Alexandria | GGA-PBE | optimized geometry; calculated total energy = -35.3 eV per cell; theoretical density = 15.0 g/cm³
1.0
4.811 -1.502 0.000
4.811 1.502 0.000
-0.417 0.000 4.601
Re Te Ru
2 1 1
direct
0.226 0.226 0.217
0.774 0.774 0.783
0.000 0.000 0.500
0.500 0.500 0.000

=====

No. 9
ReTe2Ru | Alexandria | GGA-PBE | optimized geometry; calculated total energy = -25.0 eV per cell; theoretical density = 10.9 g/cm³; energy above the lowest structure with this stoichiometry = 10.67 kcal/mol of atoms
1.0
1.631 0.942 8.940
-1.631 0.942 8.940
0.000 -1.883 8.940
Re Te Ru
1 2 1
direct
0.000 0.000 0.000
0.407 0.407 0.407
0.593 0.593 0.593
0.500 0.500 0.500

=====

No. 10
Re2TeRu | Alexandria | GGA-PBE | optimized geometry; calculated total energy = -34.7 eV per cell; theoretical density = 15.3 g/cm³
1.0
1.476 0.852 8.661
-1.476 0.852 8.661
0.000 -1.705 8.661
Re Te Ru
2 1 1
direct
0.247 0.247 0.247
0.753 0.753 0.753
0.000 0.000 0.000
0.500 0.500 0.500

=====

No. 11
ReTe2Ru | Alexandria | GGA-PBE | optimized geometry; calculated total energy = -25.7 eV per cell; theoretical density = 12.0 g/cm³; energy above the lowest structure with this stoichiometry = 6.36 kcal/mol of atoms
1.0
4.874 -1.656 0.000
4.874 1.656 0.000
-0.947 0.000 4.635
Re Te Ru
1 2 1
direct
0.000 0.000 0.000
0.267 0.267 0.877
0.507 0.507 0.459
0.767 0.767 0.359

=====

No. 12
ReTe2Ru | Alexandria | GGA-PBE | optimized geometry; calculated total energy = -25.6 eV per cell; theoretical density = 12.3 g/cm³; energy above the lowest structure with this stoichiometry = 6.95 kcal/mol of atoms
1.0
3.322 0.000 0.000
0.000 3.322 0.000
0.000 0.000 6.617
Re Te Ru
1 2 1
direct
0.000 0.000 0.000
0.500 0.500 0.250
0.500 0.500 0.750
0.000 0.000 0.500

=====

What did the sixth record say?
ReTe2Ru | Alexandria | GGA-PBE | optimized geometry; calculated total energy = -23.4 eV per cell; theoretical density = 11.7 g/cm³; energy above the lowest structure with this stoichiometry = 19.94 kcal/mol of atoms
1.0
0.000 3.377 3.377
3.377 0.000 3.377
3.377 3.377 0.000
Re Te Ru
1 2 1
direct
0.000 0.000 0.000
0.500 0.500 0.500
0.750 0.750 0.750
0.250 0.250 0.250

=====

Which value of theoretical density does entry 3 give? 12.6 g/cm³

=====

Which formula does entry 9 have? ReTe2Ru